Entry from the Alexandria database: a relaxed structure of Ho2TiCoO6 (PBE with a Hubbard U).

DOS at the Fermi energy = 0.000 states/eV per atom
raw total energy = -162.94 eV for the cell shown

a b c (Å): 5.296 5.651 9.269
angles (deg): 90.00 123.99 90.00
Sites, in units of the cell vectors:
Ho  0.225  0.072  0.247
Ho  0.225  0.428  0.747
Ho  0.775  0.572  0.253
Ho  0.775  0.928  0.753
Ti  0.500  0.000  0.000
Ti  0.500  0.500  0.500
Co  0.000  0.000  0.500
Co  0.000  0.500  0.000
O  0.142  0.186  0.943
O  0.142  0.314  0.443
O  0.253  0.705  0.933
O  0.253  0.795  0.433
O  0.380  0.047  0.758
O  0.380  0.453  0.258
O  0.620  0.547  0.742
O  0.620  0.953  0.242
O  0.747  0.205  0.567
O  0.747  0.295  0.067
O  0.858  0.686  0.557
O  0.858  0.814  0.057